Below is crystalline CaYTc2 at its relaxed geometry, with properties calculated at the GGA-PBE level.

electronic total energy = -27.5 eV/cell
SG = No. 10
excess energy over the best structure of this formula in the dataset = 298.1 meV/atom

The structure in POSCAR format:
```
CaYTc2
1.0
4.5393 0.0000 0.0000
0.0000 3.2331 -0.0001
0.0000 2.1260 6.5054
Y Ca Tc
1 1 2
direct
0.5000 0.2500 0.2500
0.5000 0.7500 0.7500
0.0000 0.8775 0.0775
0.0000 0.6225 0.4225
```

Below is crystalline CaYZr2Tc at its relaxed geometry, with properties calculated at the GGA-PBE level.

electronic total energy = -34.2 eV/cell
SG = No. 123

The structure in POSCAR format:
```
CaYZr2Tc
1.0
-3.5376 3.5898 0.3854
-3.0036 -3.3127 3.2859
2.3558 1.8862 4.0550
Y Ca Tc Zr
1 1 1 2
direct
0.5000 0.5000 0.5000
0.0000 0.5000 0.0000
0.0000 0.0000 0.0000
0.0000 0.0000 0.5000
0.5000 0.0000 0.0000
```

Below is crystalline CaZn2Tc at its relaxed geometry, with properties calculated at the GGA-PBE level.

electronic total energy = -13.2 eV/cell
SG = No. 160
excess energy over the best structure of this formula in the dataset = 347.8 meV/atom

The structure in POSCAR format:
```
CaZn2Tc
1.0
-3.6554 -5.6738 -6.5986
-5.1423 -6.7109 -4.1972
-6.1781 -4.3108 -5.6870
Zn Ca Tc
2 1 1
direct
0.0026 0.0026 0.0026
0.2580 0.2580 0.2580
0.4968 0.4968 0.4968
0.7426 0.7426 0.7426
```

Below is crystalline Ca2ZnTc at its relaxed geometry, with properties calculated at the GGA-PBE level.

electronic total energy = -14.1 eV/cell
SG = No. 10

The structure in POSCAR format:
```
Ca2ZnTc
1.0
-3.4273 -0.9919 -0.7828
0.9306 -1.0579 -2.7338
2.2835 -8.2834 0.4985
Zn Ca Tc
1 2 1
direct
0.5000 0.7500 0.7500
0.0000 0.9861 0.0143
0.0000 0.5139 0.4857
0.5000 0.2500 0.2500
```

Below is crystalline Ca2ZnTc at its relaxed geometry, with properties calculated at the GGA-PBE level.

electronic total energy = -13.5 eV/cell
SG = No. 166

The structure in POSCAR format:
```
Ca2ZnTc
1.0
-1.4449 9.9243 0.5889
-4.5835 8.9373 0.2073
-3.2089 8.9586 3.2208
Zn Ca Tc
1 2 1
direct
0.7500 0.7500 0.7500
0.9933 0.9933 0.9933
0.5067 0.5067 0.5067
0.2500 0.2500 0.2500
```

Below is crystalline CaZn3Tc at its relaxed geometry, with properties calculated at the GGA-PBE level.

electronic total energy = -15.3 eV/cell
SG = No. 221
excess energy over the best structure of this formula in the dataset = 0.0 meV/atom

The structure in POSCAR format:
```
CaZn3Tc
1.0
-2.3228 -0.9295 4.1284
1.7688 -4.4916 -0.0161
3.8444 1.5050 2.5018
Zn Ca Tc
3 1 1
direct
0.0000 0.5000 0.0000
0.0000 0.0000 0.5000
0.5000 0.0000 0.0000
0.5000 0.5000 0.5000
0.0000 0.0000 0.0000
```

Below is crystalline Ca3ZnTc at its relaxed geometry, with properties calculated at the GGA-PBE level.

electronic total energy = -14.9 eV/cell
SG = No. 221
excess energy over the best structure of this formula in the dataset = 0.0 meV/atom

The structure in POSCAR format:
```
Ca3ZnTc
1.0
5.4107 0.0000 0.0000
0.0000 5.4107 0.0000
0.0000 0.0000 5.4107
Zn Ca Tc
1 3 1
direct
0.5000 0.5000 0.5000
0.0000 0.5000 0.0000
0.0000 0.0000 0.5000
0.5000 0.0000 0.0000
0.0000 0.0000 0.0000
```

Below is crystalline Ca4ZnTc at its relaxed geometry, with properties calculated at the GGA-PBE level.

electronic total energy = -13.8 eV/cell
SG = No. 216

The structure in POSCAR format:
```
Ca4ZnTc
1.0
-4.5725 -0.3485 4.3532
-5.0451 -3.6773 -1.0017
-0.7669 -5.2997 3.3622
Ca Zn Tc
4 1 1
direct
0.8719 0.3760 0.3760
0.3760 0.3760 0.8719
0.3760 0.8719 0.3760
0.3760 0.3760 0.3760
0.0000 0.0000 0.0000
0.7500 0.7500 0.7500
```

Below is crystalline Ca2ZnTc at its relaxed geometry, with properties calculated at the GGA-PBE level.

electronic total energy = -14.0 eV/cell
SG = No. 119

The structure in POSCAR format:
```
Ca2ZnTc
1.0
-0.4427 0.6442 -5.3459
-5.2119 -0.2150 -1.4068
2.5942 2.8745 3.7679
Zn Ca Tc
1 2 1
direct
0.7500 0.2500 0.5000
0.0000 0.0000 0.0000
0.2500 0.7500 0.5000
0.5000 0.5000 0.0000
```

Below is crystalline Ca2ZnTc at its relaxed geometry, with properties calculated at the GGA-PBE level.

electronic total energy = -14.6 eV/cell
SG = No. 38

The structure in POSCAR format:
```
Ca2ZnTc
1.0
-1.1806 1.7778 -3.7915
2.7874 -2.3073 -1.9499
-2.4032 -5.1478 -1.6655
Zn Ca Tc
1 2 1
direct
0.5000 0.5688 0.7381
0.0000 0.9800 0.9152
0.5000 0.2691 0.3364
0.0000 0.6821 0.5103
```

Below is crystalline CaZn2Tc at its relaxed geometry, with properties calculated at the GGA-PBE level.

electronic total energy = -14.1 eV/cell
SG = No. 12
excess energy over the best structure of this formula in the dataset = 104.6 meV/atom

The structure in POSCAR format:
```
CaZn2Tc
1.0
-3.3588 -3.2679 -1.1281
-1.4291 -4.5902 0.3475
-3.1515 0.7019 4.7502
Zn Ca Tc
2 1 1
direct
0.9898 0.9898 0.0596
0.5102 0.5102 0.4404
0.7500 0.7500 0.7500
0.2500 0.2500 0.2500
```

Below is crystalline CaZn2Tc at its relaxed geometry, with properties calculated at the GGA-PBE level.

electronic total energy = -14.0 eV/cell
SG = No. 123
excess energy over the best structure of this formula in the dataset = 134.4 meV/atom

The structure in POSCAR format:
```
CaZn2Tc
1.0
4.4039 0.0000 0.0000
0.0000 4.4046 0.0000
0.0000 0.0000 3.6112
Zn Ca Tc
2 1 1
direct
0.0000 0.0000 0.0000
0.5000 0.5000 0.0000
0.5000 0.0000 0.5000
0.0000 0.5000 0.5000
```

Number 1: Fermi-level density of states 3.70 states/eV per cell. Number 2: Fermi-level density of states 6.52 states/eV per cell. Number 3: Fermi-level density of states 2.67 states/eV per cell. Number 4: Fermi-level density of states 3.36 states/eV per cell. Number 5: Fermi-level density of states 3.93 states/eV per cell. Number 6: Fermi-level density of states 2.66 states/eV per cell. Number 7: Fermi-level density of states 7.04 states/eV per cell. Number 8: Fermi-level density of states 10.31 states/eV per cell. Number 9: Fermi-level density of states 4.30 states/eV per cell. Number 10: Fermi-level density of states 4.03 states/eV per cell. Number 11: Fermi-level density of states 2.71 states/eV per cell. Number 12: Fermi-level density of states 2.98 states/eV per cell.